The following is a DFT calculation (PBE) of crystalline Dy8Sn2C3 at its relaxed geometry.

Lattice parameters (Å, degrees): 6.4220 7.2671 8.3504 115.79 105.32 90.00
Element x y z (fractional)
Dy (0.9426, 0.6027, 0.2053)
Dy (0.0574, 0.3973, 0.7947)
Dy (0.9000, 0.0945, 0.1890)
Dy (0.1000, 0.9055, 0.8110)
Dy (0.6106, 0.6690, 0.8186)
Dy (0.6106, 0.1495, 0.8186)
Dy (0.3894, 0.8505, 0.1814)
Dy (0.3894, 0.3310, 0.1814)
Sn (0.3301, 0.2551, 0.5103)
Sn (0.6699, 0.7449, 0.4897)
C (0.5000, 0.0000, 0.0000)
C (0.0000, 0.2551, 0.0000)
C (0.0000, 0.7449, 0.0000)

Output
total moment = 0.00 μB/f.u.
E_form = -32.97 kJ per mole of atoms

=====

The following is a DFT calculation (PBE) of crystalline TbDy2SnC at its relaxed geometry.

Lattice parameters (Å, degrees): 4.9202 4.8923 4.8923 90.00 90.00 90.00
Element x y z (fractional)
Tb (0.5000, 0.0000, 0.0000)
Dy (0.0000, 0.0000, 0.5000)
Dy (0.0000, 0.5000, 0.0000)
Sn (0.5000, 0.5000, 0.5000)
C (0.0000, 0.0000, 0.0000)

Output
total moment = 0.00 μB/f.u.
E_form = -60.25 kJ per mole of atoms

=====

The following is a DFT calculation (PBE) of crystalline Tb3DySn2C at its relaxed geometry.

Lattice parameters (Å, degrees): 4.8053 4.8234 8.7087 106.08 106.02 90.00
Element x y z (fractional)
Tb (0.0000, 0.5000, 0.0000)
Tb (0.1595, 0.1595, 0.3191)
Tb (0.8405, 0.8405, 0.6809)
Dy (0.5000, 0.0000, 0.0000)
Sn (0.6399, 0.6399, 0.2798)
Sn (0.3601, 0.3601, 0.7202)
C (0.0000, 0.0000, 0.0000)

Output
total moment = 0.00 μB/f.u.
E_form = -63.45 kJ per mole of atoms

=====

The following is a DFT calculation (PBE) of crystalline TbDy3Sn2C at its relaxed geometry.

Lattice parameters (Å, degrees): 4.8192 4.8012 8.6735 106.07 106.13 90.00
Element x y z (fractional)
Tb (0.5000, 0.0000, 0.0000)
Dy (0.0000, 0.5000, 0.0000)
Dy (0.1593, 0.1593, 0.3185)
Dy (0.8407, 0.8407, 0.6815)
Sn (0.6405, 0.6405, 0.2809)
Sn (0.3595, 0.3595, 0.7191)
C (0.0000, 0.0000, 0.0000)

Output
total moment = 0.00 μB/f.u.
E_form = -62.70 kJ per mole of atoms

=====

The following is a DFT calculation (PBE) of crystalline Dy2Tc2Sn2C at its relaxed geometry.

Lattice parameters (Å, degrees): 3.5946 6.1995 7.2156 68.65 75.58 73.15
Element x y z (fractional)
Dy (0.5456, 0.1676, 0.7412)
Dy (0.4544, 0.8324, 0.2588)
Tc (0.1767, 0.6941, 0.9526)
Tc (0.8233, 0.3059, 0.0474)
Sn (0.1636, 0.3390, 0.3338)
Sn (0.8364, 0.6610, 0.6662)
C (0.0000, 0.0000, 0.0000)

Output
total moment = 0.00 μB/f.u.
E_form = -40.54 kJ per mole of atoms

=====

The following is a DFT calculation (PBE) of crystalline DyTh2SnC at its relaxed geometry.

Lattice parameters (Å, degrees): 4.9652 5.0538 5.0538 90.00 90.00 90.00
Element x y z (fractional)
Dy (0.5000, 0.0000, 0.0000)
Th (0.0000, 0.0000, 0.5000)
Th (0.0000, 0.5000, 0.0000)
Sn (0.5000, 0.5000, 0.5000)
C (0.0000, 0.0000, 0.0000)

Output
total moment = 0.00 μB/f.u.
E_form = -42.48 kJ per mole of atoms

=====

The following is a DFT calculation (PBE) of crystalline Dy2ThSnC at its relaxed geometry.

Lattice parameters (Å, degrees): 5.0307 4.9317 4.9317 90.00 90.00 90.00
Element x y z (fractional)
Dy (0.0000, 0.0000, 0.5000)
Dy (0.0000, 0.5000, 0.0000)
Th (0.5000, 0.0000, 0.0000)
Sn (0.5000, 0.5000, 0.5000)
C (0.0000, 0.0000, 0.0000)

Output
total moment = 0.00 μB/f.u.
E_form = -49.94 kJ per mole of atoms

=====

The following is a DFT calculation (PBE) of crystalline Dy3TmSn2C at its relaxed geometry.

Lattice parameters (Å, degrees): 4.7408 4.7903 8.6502 106.07 105.90 90.00
Element x y z (fractional)
Dy (0.0000, 0.5000, 0.0000)
Dy (0.1590, 0.1590, 0.3180)
Dy (0.8410, 0.8410, 0.6820)
Tm (0.5000, 0.0000, 0.0000)
Sn (0.6399, 0.6399, 0.2798)
Sn (0.3601, 0.3601, 0.7202)
C (0.0000, 0.0000, 0.0000)

Output
total moment = 0.00 μB/f.u.
E_form = -66.06 kJ per mole of atoms

=====

The following is a DFT calculation (PBE) of crystalline DyTm2SnC at its relaxed geometry.

Lattice parameters (Å, degrees): 4.8882 4.8104 4.8104 90.00 90.00 90.00
Element x y z (fractional)
Dy (0.5000, 0.0000, 0.0000)
Tm (0.0000, 0.0000, 0.5000)
Tm (0.0000, 0.5000, 0.0000)
Sn (0.5000, 0.5000, 0.5000)
C (0.0000, 0.0000, 0.0000)

Output
total moment = 0.00 μB/f.u.
E_form = -62.85 kJ per mole of atoms

=====

The following is a DFT calculation (PBE) of crystalline Dy2TmSnC at its relaxed geometry.

Lattice parameters (Å, degrees): 4.8118 4.8907 4.8907 90.00 90.00 90.00
Element x y z (fractional)
Dy (0.0000, 0.0000, 0.5000)
Dy (0.0000, 0.5000, 0.0000)
Tm (0.5000, 0.0000, 0.0000)
Sn (0.5000, 0.5000, 0.5000)
C (0.0000, 0.0000, 0.0000)

Output
total moment = 0.00 μB/f.u.
E_form = -61.77 kJ per mole of atoms

=====

The following is a DFT calculation (PBE) of crystalline Dy2YSnC at its relaxed geometry.

Lattice parameters (Å, degrees): 4.8939 4.8948 4.8948 90.00 90.00 90.00
Element x y z (fractional)
Dy (0.0000, 0.0000, 0.5000)
Dy (0.0000, 0.5000, 0.0000)
Y (0.5000, 0.0000, 0.0000)
Sn (0.5000, 0.5000, 0.5000)
C (0.0000, 0.0000, 0.0000)

Output
total moment = 0.00 μB/f.u.
E_form = -61.71 kJ per mole of atoms

=====

The following is a DFT calculation (PBE) of crystalline DyY2SnC at its relaxed geometry.

Lattice parameters (Å, degrees): 4.8981 4.8971 4.8971 90.00 90.00 90.00
Element x y z (fractional)
Dy (0.5000, 0.0000, 0.0000)
Y (0.0000, 0.0000, 0.5000)
Y (0.0000, 0.5000, 0.0000)
Sn (0.5000, 0.5000, 0.5000)
C (0.0000, 0.0000, 0.0000)

Output
total moment = 0.00 μB/f.u.
E_form = -62.66 kJ per mole of atoms